Nb2Zn3O8 | OQMD | PBE-GGA | optimized geometry; DFT total energy = -6.90 eV/atom; magnetization = 0.0 Bohr magnetons per cell
1.0
9.5240 -2.9684 0.0000
9.5240 2.9684 0.0000
-0.0190 0.0000 5.2234
Nb Zn O
4 6 16
direct
0.0508 0.7210 0.7401
0.2790 0.9492 0.7599
0.7210 0.0508 0.2401
0.9492 0.2790 0.2599
0.1243 0.4327 0.2417
0.3470 0.6530 0.2500
0.4327 0.1243 0.7417
0.5673 0.8757 0.2583
0.6530 0.3470 0.7500
0.8757 0.5673 0.7583
0.0462 0.8171 0.0785
0.0811 0.2813 0.5542
0.1649 0.4502 0.8726
0.1829 0.9538 0.4215
0.2813 0.0811 0.0542
0.3206 0.5624 0.5844
0.4376 0.6794 0.9156
0.4502 0.1649 0.3726
0.5498 0.8351 0.6274
0.5624 0.3206 0.0844
0.6794 0.4376 0.4156
0.7187 0.9189 0.9458
0.8171 0.0462 0.5785
0.8351 0.5498 0.1274
0.9189 0.7187 0.4458
0.9538 0.1829 0.9215

FeCoAsW | OQMD | PBE-GGA | optimized geometry; DFT total energy = -8.01 eV/atom; magnetization = 1.5 Bohr magnetons per cell
1.0
0.0000 2.9593 2.9593
2.9593 0.0000 2.9593
2.9593 2.9593 0.0000
Fe Co As W
1 1 1 1
direct
0.0000 0.0000 0.0000
0.2500 0.2500 0.2500
0.7500 0.7500 0.7500
0.5000 0.5000 0.5000

AcSmPO | OQMD | PBE-GGA | optimized geometry; DFT total energy = -6.75 eV/atom; magnetization = 0.0 Bohr magnetons per cell
1.0
4.4849 0.0000 0.0000
0.0000 7.7526 0.0000
0.0000 0.0000 6.2730
Ac Sm P O
2 2 2 2
direct
0.0000 0.2026 0.0000
0.0000 0.7974 0.5000
0.5000 0.3811 0.5601
0.5000 0.6189 0.0601
0.0000 0.1819 0.4971
0.0000 0.8181 0.9971
0.5000 0.3404 0.9264
0.5000 0.6596 0.4264

TbLuPbC | OQMD | PBE-GGA | optimized geometry; DFT total energy = -6.03 eV/atom; magnetization = 0.0 Bohr magnetons per cell
1.0
3.6069 0.0000 0.0000
-1.8035 3.1237 0.0000
0.0000 0.0000 16.0020
Tb Lu Pb C
2 2 2 2
direct
0.0000 0.0000 0.1699
0.0000 0.0000 0.8301
0.3333 0.6667 0.3341
0.3333 0.6667 0.6659
0.0000 0.0000 0.5000
0.3333 0.6667 0.0000
0.6667 0.3333 0.2551
0.6667 0.3333 0.7449

RbPaO3 | OQMD | PBE-GGA | optimized geometry; DFT total energy = -7.73 eV/atom; magnetization = 0.0 Bohr magnetons per cell
1.0
3.1213 1.8021 5.1001
-3.1213 1.8021 5.1001
0.0000 -3.6041 5.1001
Rb Pa O
2 2 6
direct
0.2500 0.2500 0.2500
0.7500 0.7500 0.7500
0.0000 0.0000 0.0000
0.5000 0.5000 0.5000
0.2364 0.7500 0.2636
0.2500 0.7364 0.7636
0.2636 0.2364 0.7500
0.7364 0.7636 0.2500
0.7500 0.2636 0.2364
0.7636 0.2500 0.7364

Al2ZnBi | OQMD | PBE-GGA | optimized geometry; DFT total energy = -2.92 eV/atom
1.0
0.0000 3.5130 3.5130
3.5130 0.0000 3.5130
3.5130 3.5130 0.0000
Al Zn Bi
2 1 1
direct
0.0000 0.0000 0.0000
0.2500 0.2500 0.2500
0.7500 0.7500 0.7500
0.5000 0.5000 0.5000